(1)
Crystalline Th2Cd12Ag7 at its relaxed geometry. Source: Alexandria, functional PBE-GGA.

Calculated values
**VASP energy**: -2.2337 eV per atom
**Size of the total moment**: 0.000 μB/cell
**Symmetry**: P-3 (147)

Lattice parameters (Å, degrees): 3.414 12.465 12.465 120.00 90.00 90.00
Element x y z (fractional)
Th 0.245 0.333 0.667
Th 0.755 0.667 0.333
Cd 0.250 0.617 0.073
Cd 0.250 0.456 0.383
Cd 0.250 0.927 0.544
Cd 0.750 0.383 0.927
Cd 0.750 0.544 0.617
Cd 0.750 0.073 0.456
Cd 0.237 0.081 0.247
Cd 0.237 0.166 0.919
Cd 0.237 0.753 0.834
Cd 0.763 0.919 0.753
Cd 0.763 0.834 0.081
Cd 0.763 0.247 0.166
Ag 0.500 0.000 0.000
Ag 0.252 0.864 0.286
Ag 0.252 0.422 0.136
Ag 0.252 0.714 0.578
Ag 0.748 0.136 0.714
Ag 0.748 0.578 0.864
Ag 0.748 0.286 0.422

(2)
Crystalline ThCdAg4 at its relaxed geometry. Source: Alexandria, functional PBE-GGA.

Calculated values
**VASP energy**: -3.4016 eV per atom
**Size of the total moment**: 0.000 μB/cell
**Symmetry**: F-43m (216)

Lattice parameters (Å, degrees): 5.626 5.626 5.626 60.00 60.00 60.00
Element x y z (fractional)
Ag 0.626 0.626 0.123
Ag 0.626 0.123 0.626
Ag 0.626 0.626 0.626
Ag 0.123 0.626 0.626
Th 0.250 0.250 0.250
Cd 0.000 0.000 0.000

(3)
Crystalline ThCd4Ag2 at its relaxed geometry. Source: Alexandria, functional PBE-GGA.

Calculated values
**VASP energy**: -2.4505 eV per atom
**Size of the total moment**: 0.000 μB/cell
**Symmetry**: P4_2/mnm (136)
**Energy above the lowest structure with this stoichiometry**: 27 meV per atom

Lattice parameters (Å, degrees): 4.311 8.630 8.630 90.00 90.00 90.00
Element x y z (fractional)
Ag 0.000 0.195 0.805
Ag 0.000 0.805 0.195
Ag 0.500 0.695 0.695
Ag 0.500 0.305 0.305
Th 0.500 0.000 0.000
Th 0.000 0.500 0.500
Cd 0.000 0.091 0.339
Cd 0.000 0.909 0.661
Cd 0.500 0.161 0.591
Cd 0.500 0.839 0.409
Cd 0.500 0.409 0.839
Cd 0.500 0.591 0.161
Cd 0.000 0.339 0.091
Cd 0.000 0.661 0.909

(4)
Crystalline ThCd2Ag at its relaxed geometry. Source: Alexandria, functional PBE-GGA.

Calculated values
**VASP energy**: -3.0713 eV per atom
**Size of the total moment**: 0.000 μB/cell
**Symmetry**: Fm-3m (225)

Lattice parameters (Å, degrees): 5.140 5.140 5.140 60.00 60.00 60.00
Element x y z (fractional)
Ag 0.500 0.500 0.500
Th 0.000 0.000 0.000
Cd 0.250 0.250 0.250
Cd 0.750 0.750 0.750

(5)
Crystalline Th2CdAg4 at its relaxed geometry. Source: Alexandria, functional PBE-GGA.

Calculated values
**VASP energy**: -3.9141 eV per atom
**Size of the total moment**: 0.000 μB/cell
**Symmetry**: C2/m (12)

Lattice parameters (Å, degrees): 5.459 5.459 6.935 82.92 82.92 53.55
Element x y z (fractional)
Ag 0.887 0.887 0.405
Ag 0.113 0.113 0.595
Ag 0.594 0.594 0.317
Ag 0.406 0.406 0.683
Th 0.707 0.707 0.813
Th 0.293 0.293 0.187
Cd 0.000 0.000 0.000

(6)
Crystalline ThCd2Ag at its relaxed geometry. Source: Alexandria, functional PBE-GGA.

Calculated values
**VASP energy**: -3.1487 eV per atom
**Size of the total moment**: 0.000 μB/cell
**Symmetry**: R3m (160)

Lattice parameters (Å, degrees): 5.135 5.135 5.127 90.00 120.00 120.04
Element x y z (fractional)
Th 0.625 0.563 0.187
Cd 0.125 0.812 0.938
Cd 0.625 0.063 0.688
Ag 0.124 0.312 0.437

(7)
Crystalline ThCd10Ag2 at its relaxed geometry. Source: Alexandria, functional PBE-GGA.

Calculated values
**VASP energy**: -1.7854 eV per atom
**Size of the total moment**: 0.000 μB/cell
**Symmetry**: Fmmm (69)

Lattice parameters (Å, degrees): 5.844 7.599 7.610 81.51 67.42 67.39
Element x y z (fractional)
Th 0.000 0.000 0.000
Cd 0.349 0.645 0.657
Cd 0.651 0.355 0.343
Cd 0.994 0.355 0.657
Cd 0.006 0.645 0.343
Cd 0.000 0.000 0.500
Cd 0.500 0.000 0.500
Cd 0.286 0.217 0.210
Cd 0.714 0.783 0.790
Cd 0.504 0.783 0.210
Cd 0.496 0.217 0.790
Ag 0.000 0.500 0.000
Ag 0.500 0.500 0.000

(8)
Crystalline ThCd5Ag6 at its relaxed geometry. Source: Alexandria, functional PBE-GGA.

Calculated values
**VASP energy**: -2.4330 eV per atom
**Size of the total moment**: 0.000 μB/cell
**Symmetry**: C2/m (12)

Lattice parameters (Å, degrees): 4.761 8.168 8.168 112.09 106.91 106.91
Element x y z (fractional)
Th 0.000 0.000 0.000
Ag 0.272 0.101 0.440
Ag 0.728 0.560 0.899
Ag 0.777 0.277 0.277
Ag 0.223 0.723 0.723
Ag 0.272 0.440 0.101
Ag 0.728 0.899 0.560
Cd 0.500 0.162 0.838
Cd 0.000 0.321 0.679
Cd 0.500 0.500 0.500
Cd 0.000 0.679 0.321
Cd 0.500 0.838 0.162

What is the size of the total moment in the first record?
0.000 μB/cell

Please write out number 7 again, unchanged.
Crystalline ThCd10Ag2 at its relaxed geometry. Source: Alexandria, functional PBE-GGA.

Calculated values
**VASP energy**: -1.7854 eV per atom
**Size of the total moment**: 0.000 μB/cell
**Symmetry**: Fmmm (69)

Lattice parameters (Å, degrees): 5.844 7.599 7.610 81.51 67.42 67.39
Element x y z (fractional)
Th 0.000 0.000 0.000
Cd 0.349 0.645 0.657
Cd 0.651 0.355 0.343
Cd 0.994 0.355 0.657
Cd 0.006 0.645 0.343
Cd 0.000 0.000 0.500
Cd 0.500 0.000 0.500
Cd 0.286 0.217 0.210
Cd 0.714 0.783 0.790
Cd 0.504 0.783 0.210
Cd 0.496 0.217 0.790
Ag 0.000 0.500 0.000
Ag 0.500 0.500 0.000

Which formula does entry 3 have?
ThCd4Ag2